Record 1
VASP calculation (meta-GGA SCAN) on a PBEsol-optimized structure of MgC3.

Cell lengths 2.979, 2.979, 4.384 Å; angles 90.00, 90.00, 90.00 degrees
Space group P4/mmm (No. 123)
Inequivalent atoms, fractional coordinates:
Mg: 0.000 0.000 0.000
C: 0.000 0.000 0.500
C: 0.500 0.500 0.348

Output
- Formation energy from the elements: 1.93 eV per atom
- Offset from the most stable computed form: 1060 meV per atom


Record 2
VASP calculation (meta-GGA SCAN) on a PBEsol-optimized structure of Tm2Ga9Co3.

Cell lengths 12.482, 7.242, 9.211 Å; angles 90.00, 90.00, 90.00 degrees
Space group Cmcm (No. 63)
Inequivalent atoms, fractional coordinates:
Tm: 0.164 0.167 0.250
Ga: 0.000 0.120 0.750
Ga: 0.000 0.333 0.060
Ga: 0.108 0.444 0.750
Ga: 0.167 0.167 0.573
Co: 0.000 0.000 0.000
Co: 0.171 0.500 0.000

Output
- Formation energy from the elements: -0.50 eV per atom


Record 3
VASP calculation (meta-GGA SCAN) on a PBEsol-optimized structure of Be2TlHO.

Cell lengths 3.245, 3.245, 5.293 Å; angles 90.00, 90.00, 90.00 degrees
Space group P4/mmm (No. 123)
Inequivalent atoms, fractional coordinates:
Be: 0.000 0.500 0.000
Tl: 0.000 0.000 0.500
H: 0.500 0.500 0.500
O: 0.500 0.500 0.000

Output
- Electronic total energy: -92.77 eV/cell


Record 4
VASP calculation (meta-GGA SCAN) on a PBEsol-optimized structure of HfSnBi3.

Cell lengths 5.559, 5.559, 5.559 Å; angles 90.00, 90.00, 90.00 degrees
Space group Pm-3m (No. 221)
Inequivalent atoms, fractional coordinates:
Hf: 0.000 0.000 0.000
Sn: 0.500 0.500 0.500
Bi: 0.000 0.000 0.500

Output
- Formation energy from the elements: 0.44 eV per atom


Record 5
VASP calculation (meta-GGA SCAN) on a PBEsol-optimized structure of SrFe2Ni.

Cell lengths 3.121, 3.121, 6.772 Å; angles 90.00, 90.00, 90.00 degrees
Space group P4/mmm (No. 123)
Inequivalent atoms, fractional coordinates:
Sr: 0.000 0.000 0.000
Fe: 0.500 0.500 0.341
Ni: 0.000 0.000 0.500

Output
- Formation energy from the elements: 0.51 eV per atom


Record 6
VASP calculation (meta-GGA SCAN) on a PBEsol-optimized structure of MgNbGe3.

Cell lengths 4.981, 4.981, 4.981 Å; angles 90.00, 90.00, 90.00 degrees
Space group Pm-3m (No. 221)
Inequivalent atoms, fractional coordinates:
Mg: 0.000 0.000 0.000
Nb: 0.500 0.500 0.500
Ge: 0.000 0.500 0.500

Output
- Formation energy from the elements: 0.41 eV per atom
- Offset from the most stable computed form: 0 meV per atom


Record 7
VASP calculation (meta-GGA SCAN) on a PBEsol-optimized structure of YAg2Mo.

Cell lengths 4.165, 4.165, 8.571 Å; angles 90.00, 90.00, 90.00 degrees
Space group I4/mmm (No. 139)
Inequivalent atoms, fractional coordinates:
Y: 0.000 0.000 0.000
Ag: 0.000 0.500 0.250
Mo: 0.000 0.000 0.500

Output
- Formation energy from the elements: 0.33 eV per atom
- Offset from the most stable computed form: 0 meV per atom


Record 8
VASP calculation (meta-GGA SCAN) on a PBEsol-optimized structure of BeAsSe2.

Cell lengths 6.193, 6.193, 8.387 Å; angles 90.00, 90.00, 90.00 degrees
Space group I-42d (No. 122)
Inequivalent atoms, fractional coordinates:
Be: 0.000 0.000 0.000
As: 0.000 0.000 0.500
Se: 0.191 0.750 0.125

Output
- Offset from the most stable computed form: 0 meV per atom
- E_form (uncorrected): -123 meV/atom